# 1
This record from Alexandria via LeMat-Bulk describes a relaxed structure of UAlAg. The functional is GGA-PBE.

Unit cell a=4.8884 b=4.8884 c=2.9158 alpha=90.00 beta=90.00 gamma=120.00
Space group P-6m2 (No. 187)
Asymmetric unit:
U  0.0000  0.0000  0.0000 (multiplicity 1)
Al  0.6667  0.3333  0.5000 (multiplicity 1)
Ag  0.3333  0.6667  0.5000 (multiplicity 1)

Results
The value obtained for the formation energy is 0.0343 eV per atom. The calculation puts the spin magnetization at 3.05 μB/f.u. The density of states at the Fermi level is 4.43 states/eV per cell.

---

# 2
This record from Alexandria via LeMat-Bulk describes a relaxed structure of UAlAg. The functional is GGA-PBE.

Unit cell a=2.859 b=2.859 c=13.673 alpha=90.00 beta=90.00 gamma=90.00
Space group I4mm (No. 107)
Asymmetric unit:
U  0.000  0.000  0.000 (multiplicity 2)
Al  0.000  0.000  0.331 (multiplicity 2)
Ag  0.000  0.000  0.690 (multiplicity 2)

Results
The value obtained for the formation energy is 0.0267 eV per atom. The calculation puts the spin magnetization at 1.79 μB/f.u. The density of states at the Fermi level is 7.71 states/eV per cell.

---

# 3
This record from Alexandria via LeMat-Bulk describes a relaxed structure of UAlAg. The functional is GGA-PBE.

Unit cell a=5.370 b=8.274 c=11.173 alpha=90.00 beta=90.00 gamma=90.00
Space group Fmmm (No. 69)
Asymmetric unit:
U  0.000  0.158  0.000 (multiplicity 8)
Al  0.000  0.000  0.376 (multiplicity 8)
Ag  0.250  0.250  0.250 (multiplicity 8)

Results
The value obtained for the formation energy is 0.1352 eV per atom. The calculation puts the spin magnetization at 2.87 μB/f.u. The density of states at the Fermi level is 35.70 states/eV per cell.

---

# 4
This record from Alexandria via LeMat-Bulk describes a relaxed structure of AlVAg. The functional is GGA-PBE.

Unit cell a=3.149 b=3.149 c=9.372 alpha=90.00 beta=90.00 gamma=90.00
Space group P4/nmm (No. 129, origin choice 2)
Asymmetric unit:
Al  0.250  0.250  0.227 (multiplicity 2)
V  0.250  0.250  0.939 (multiplicity 2)
Ag  0.250  0.250  0.604 (multiplicity 2)

Results
The energy above the most stable polymorph in this dataset comes out at 0.000 eV per atom. The value obtained for the formation energy is -0.1489 eV per atom. The calculation puts the spin magnetization at 0.00 μB/f.u. The density of states at the Fermi level is 3.76 states/eV per cell.

---

# 5
This record from Alexandria via LeMat-Bulk describes a relaxed structure of Al2VAg. The functional is GGA-PBE.

Unit cell a=7.045 b=7.045 c=5.609 alpha=90.00 beta=90.00 gamma=90.00
Space group I-42d (No. 122)
Asymmetric unit:
Al  0.240  0.250  0.125 (multiplicity 8)
V  0.000  0.000  0.500 (multiplicity 4)
Ag  0.000  0.000  0.000 (multiplicity 4)

Results
The energy above the most stable polymorph in this dataset comes out at 0.506 eV per atom. The value obtained for the formation energy is 0.3691 eV per atom. The calculation puts the spin magnetization at 1.70 μB/f.u. The density of states at the Fermi level is 13.32 states/eV per cell.

---

# 6
This record from Alexandria via LeMat-Bulk describes a relaxed structure of Al2VAg. The functional is GGA-PBE.

Unit cell a=2.785 b=2.785 c=7.980 alpha=90.00 beta=90.00 gamma=90.00
Space group P4/mmm (No. 123)
Asymmetric unit:
Al  0.000  0.000  0.233 (multiplicity 2)
V  0.500  0.500  0.000 (multiplicity 1)
Ag  0.500  0.500  0.500 (multiplicity 1)

Results
The energy above the most stable polymorph in this dataset comes out at 0.000 eV per atom. The value obtained for the formation energy is -0.1370 eV per atom. The calculation puts the spin magnetization at 0.00 μB/f.u. The density of states at the Fermi level is 1.28 states/eV per cell.

---

# 7
This record from Alexandria via LeMat-Bulk describes a relaxed structure of Al2VAg2. The functional is GGA-PBE.

Unit cell a=7.528 b=7.528 c=2.886 alpha=90.00 beta=90.00 gamma=90.00
Space group P4/mbm (No. 127)
Asymmetric unit:
Al  0.146  0.354  0.000 (multiplicity 4)
V  0.000  0.000  0.000 (multiplicity 2)
Ag  0.154  0.654  0.500 (multiplicity 4)

Results
The value obtained for the formation energy is 0.1898 eV per atom. The calculation puts the spin magnetization at 0.98 μB/f.u. The density of states at the Fermi level is 5.33 states/eV per cell.

---

# 8
This record from Alexandria via LeMat-Bulk describes a relaxed structure of Al2VAg. The functional is GGA-PBE.

Unit cell a=2.8190 b=2.8190 c=29.0783 alpha=90.00 beta=90.00 gamma=120.00
Space group R-3m (No. 166, hexagonal axes)
Asymmetric unit:
Al  0.0000  0.0000  0.0876 (multiplicity 6)
V  0.0000  0.0000  0.0000 (multiplicity 3)
Ag  0.0000  0.0000  0.5000 (multiplicity 3)

Results
The energy above the most stable polymorph in this dataset comes out at 0.483 eV per atom. The value obtained for the formation energy is 0.3461 eV per atom. The calculation puts the spin magnetization at 0.17 μB/f.u. The density of states at the Fermi level is 11.81 states/eV per cell.